Entry 1:
A plane-wave DFT calculation with PBE was carried out for a geometry-optimized YSiH3 structure.

Calculated values
- VASP energy (eV per formula unit) = -20.65
- offset from the most stable computed form (eV/atom) = 0.131
- SG = Pm-3m
- crystal system = cubic

Lattice parameters (Å, degrees): 4.022 4.022 4.022 90.00 90.00 90.00
Atoms (fractional coordinates):
Si (0.500, 0.500, 0.500)
H (0.000, 0.000, 0.500)
Y (0.000, 0.000, 0.000)
H (0.000, 0.500, 0.000)
H (0.500, 0.000, 0.000)



Entry 2:
A plane-wave DFT calculation with PBE was carried out for a geometry-optimized Mg3MnTl structure.

Calculated values
- VASP energy (eV per formula unit) = -13.67
- offset from the most stable computed form (eV/atom) = 0.000
- SG = Pm-3m
- calculated formation energy (meV/atom) = 531
- crystal system = cubic

Lattice parameters (Å, degrees): 5.183 5.183 5.183 90.00 90.00 90.00
Each line ends with the local moment (μB).
Atoms (fractional coordinates):
Mg (0.000, 0.500, 0.000)  -0.01
Mn (0.000, 0.000, 0.000)  3.42
Mg (0.000, 0.000, 0.500)  -0.02
Mg (0.500, 0.000, 0.000)  -0.01
Tl (0.500, 0.500, 0.500)  -0.04



Entry 3:
A plane-wave DFT calculation with PBE was carried out for a geometry-optimized LiPm2Al12Co3 structure.

Calculated values
- VASP energy (eV per formula unit) = -76.06
- SG = R-3m
- calculated formation energy (meV/atom) = 88
- crystal system = trigonal

Lattice parameters (Å, degrees): 7.819 7.819 7.819 64.03 64.03 64.03
Atoms (fractional coordinates):
Al (0.459, 0.840, 0.840)
Al (0.745, 0.115, 0.745)
Al (0.885, 0.255, 0.255)
Co (0.500, 0.000, 0.000)
Al (0.255, 0.885, 0.255)
Pm (0.584, 0.584, 0.584)
Li (0.000, 0.000, 0.000)
Al (0.745, 0.745, 0.115)
Co (0.000, 0.000, 0.500)
Al (0.255, 0.255, 0.885)
Al (0.840, 0.840, 0.459)
Co (0.000, 0.500, 0.000)
Al (0.541, 0.160, 0.160)
Al (0.840, 0.459, 0.840)
Al (0.115, 0.745, 0.745)
Al (0.160, 0.160, 0.541)
Al (0.160, 0.541, 0.160)
Pm (0.416, 0.416, 0.416)



Entry 4:
A plane-wave DFT calculation with PBE was carried out for a geometry-optimized Ho2PbC structure.

Calculated values
- VASP energy (eV per formula unit) = -24.12
- SG = R-3m
- calculated formation energy (meV/atom) = -508
- crystal system = trigonal

Lattice parameters (Å, degrees): 3.626 3.627 8.265 102.67 90.00 119.99
Atoms (fractional coordinates):
Ho (0.722, 0.944, 0.666)
C (0.000, 0.500, 0.500)
Ho (0.278, 0.056, 0.334)
Pb (0.500, 0.500, 0.000)



Entry 5:
A plane-wave DFT calculation with PBE was carried out for a geometry-optimized RbNiAsCl6 structure.

Calculated values
- VASP energy (eV per formula unit) = -30.77
- formation energy without anion corrections (meV per atom) = -921
- SG = P312
- crystal system = trigonal

Lattice parameters (Å, degrees): 6.440 6.440 7.427 90.00 90.00 60.00
Each line ends with the local moment (μB).
Atoms (fractional coordinates):
Ni (0.667, 0.667, 0.500)  1.47
Cl (0.635, 0.378, 0.688)  0.07
Rb (0.000, 0.000, 0.000)  0.00
Cl (0.635, 0.987, 0.312)  0.07
Cl (0.378, 0.635, 0.312)  0.07
Cl (0.987, 0.378, 0.312)  0.07
As (0.333, 0.333, 0.500)  0.00
Cl (0.987, 0.635, 0.688)  0.07
Cl (0.378, 0.987, 0.688)  0.07



Entry 6:
A plane-wave DFT calculation with PBE was carried out for a geometry-optimized KTe2PtO8 structure.

Calculated values
- VASP energy (eV per formula unit) = -62.48
- formation energy without anion corrections (meV per atom) = -783
- SG = P-3
- crystal system = trigonal

Lattice parameters (Å, degrees): 5.347 5.347 8.406 90.00 90.00 120.00
Atoms (fractional coordinates):
O (0.667, 0.333, 0.094)
O (0.692, 0.986, 0.357)
O (0.986, 0.295, 0.643)
O (0.295, 0.308, 0.357)
O (0.308, 0.014, 0.643)
O (0.333, 0.667, 0.906)
K (0.000, 0.000, 0.000)
Pt (0.000, 0.000, 0.500)
Te (0.667, 0.333, 0.311)
O (0.705, 0.692, 0.643)
O (0.014, 0.705, 0.357)
Te (0.333, 0.667, 0.689)